(1)
First-principles (GGA-PBE) data for a relaxed structure of Pr4Nd3Tl5, as listed in Alexandria.

a = 8.1201 Å, b = 8.1201 Å, c = 9.6822 Å
α = 116.70°, β = 116.70°, γ = 43.69°
Fractional coordinates of all 12 atoms:
1 Pr 0.0728 0.0728 0.4038
2 Pr 0.1828 0.1828 0.8759
3 Pr 0.8172 0.8172 0.1241
4 Pr 0.9272 0.9272 0.5962
5 Nd 0.2476 0.2476 0.2852
6 Nd 0.5000 0.5000 0.0000
7 Nd 0.7524 0.7524 0.7148
8 Tl 0.0000 0.0000 0.0000
9 Tl 0.3139 0.3139 0.6621
10 Tl 0.4617 0.4617 0.3100
11 Tl 0.5383 0.5383 0.6900
12 Tl 0.6861 0.6861 0.3379

Computed properties:
* calculated density: 8.7 Mg/m³
* formation enthalpy at 0 K: -0.18 eV per atom
* size of the total moment: 0.00 μB/cell

(2)
First-principles (GGA-PBE) data for a relaxed structure of Pr2NdTl4, as listed in Alexandria.

a = 7.7168 Å, b = 7.7168 Å, c = 7.8183 Å
α = 90.00°, β = 90.00°, γ = 90.00°
Fractional coordinates of all 14 atoms:
1 Pr 0.0000 0.5000 0.0000
2 Pr 0.0000 0.5000 0.5000
3 Pr 0.5000 0.0000 0.0000
4 Pr 0.5000 0.0000 0.5000
5 Nd 0.0000 0.0000 0.0000
6 Nd 0.5000 0.5000 0.5000
7 Tl 0.2500 0.2500 0.2500
8 Tl 0.2500 0.2500 0.7500
9 Tl 0.2500 0.7500 0.2500
10 Tl 0.2500 0.7500 0.7500
11 Tl 0.7500 0.2500 0.2500
12 Tl 0.7500 0.2500 0.7500
13 Tl 0.7500 0.7500 0.2500
14 Tl 0.7500 0.7500 0.7500

Computed properties:
* calculated density: 8.9 Mg/m³
* formation enthalpy at 0 K: -0.24 eV per atom
* ΔE to the lowest computed polymorph: 0.000 eV/atom
* size of the total moment: 2.03 μB/cell

(3)
First-principles (GGA-PBE) data for a relaxed structure of Pr6NdTl5, as listed in Alexandria.

a = 9.0158 Å, b = 9.0158 Å, c = 7.8015 Å
α = 90.00°, β = 90.00°, γ = 143.69°
Fractional coordinates of all 12 atoms:
1 Pr 0.0000 0.0000 0.2307
2 Pr 0.0000 0.0000 0.7693
3 Pr 0.3261 0.6739 0.2517
4 Pr 0.3261 0.6739 0.7483
5 Pr 0.6739 0.3261 0.2517
6 Pr 0.6739 0.3261 0.7483
7 Nd 0.5000 0.5000 0.5000
8 Tl 0.1505 0.8495 0.5000
9 Tl 0.1671 0.8329 0.0000
10 Tl 0.5000 0.5000 0.0000
11 Tl 0.8329 0.1671 0.0000
12 Tl 0.8495 0.1505 0.5000

Computed properties:
* calculated density: 8.9 Mg/m³
* formation enthalpy at 0 K: -0.29 eV per atom
* ΔE to the lowest computed polymorph: 0.000 eV/atom
* size of the total moment: 3.09 μB/cell

(4)
First-principles (GGA-PBE) data for a relaxed structure of Pr2Nd5Tl4, as listed in Alexandria.

a = 8.8760 Å, b = 3.5768 Å, c = 10.8348 Å
α = 90.00°, β = 95.92°, γ = 90.00°
Fractional coordinates of all 11 atoms:
1 Pr 0.0864 0.0000 0.1386
2 Pr 0.9136 0.0000 0.8614
3 Nd 0.1618 0.0000 0.6418
4 Nd 0.4631 0.0000 0.1661
5 Nd 0.5000 0.0000 0.5000
6 Nd 0.5369 0.0000 0.8339
7 Nd 0.8382 0.0000 0.3582
8 Tl 0.2020 0.5000 0.3839
9 Tl 0.2492 0.5000 0.9196
10 Tl 0.7508 0.5000 0.0804
11 Tl 0.7980 0.5000 0.6161

Computed properties:
* calculated density: 8.8 Mg/m³
* formation enthalpy at 0 K: -0.20 eV per atom
* size of the total moment: 0.00 μB/cell

(5)
First-principles (GGA-PBE) data for a relaxed structure of Pr6Nd3Tl, as listed in Alexandria.

a = 11.7177 Å, b = 11.7177 Å, c = 6.5209 Å
α = 90.00°, β = 90.00°, γ = 129.34°
Fractional coordinates of all 20 atoms:
1 Pr 0.0196 0.9804 0.5000
2 Pr 0.0975 0.5318 0.0161
3 Pr 0.2585 0.3728 0.2325
4 Pr 0.2911 0.7089 0.4649
5 Pr 0.3728 0.2585 0.7325
6 Pr 0.4682 0.9025 0.0161
7 Pr 0.5318 0.0975 0.5161
8 Pr 0.6272 0.7415 0.2325
9 Pr 0.7089 0.2911 0.9649
10 Pr 0.7415 0.6272 0.7325
11 Pr 0.9025 0.4682 0.5161
12 Pr 0.9804 0.0196 0.0000
13 Nd 0.0398 0.2964 0.6588
14 Nd 0.2964 0.0398 0.1588
15 Nd 0.4155 0.5845 0.7607
16 Nd 0.5845 0.4155 0.2607
17 Nd 0.7036 0.9602 0.6588
18 Nd 0.9602 0.7036 0.1588
19 Tl 0.1573 0.8427 0.7200
20 Tl 0.8427 0.1573 0.2200

Computed properties:
* calculated density: 7.1 Mg/m³
* formation enthalpy at 0 K: 0.01 eV per atom
* size of the total moment: 0.00 μB/cell

(6)
First-principles (GGA-PBE) data for a relaxed structure of Pr6Nd8Tl, as listed in Alexandria.

a = 12.8776 Å, b = 12.8776 Å, c = 3.6946 Å
α = 90.00°, β = 90.00°, γ = 120.00°
Fractional coordinates of all 15 atoms:
1 Pr 0.1053 0.6165 0.1524
2 Pr 0.3835 0.4888 0.1524
3 Pr 0.4888 0.1053 0.8476
4 Pr 0.5112 0.8947 0.1524
5 Pr 0.6165 0.5112 0.8476
6 Pr 0.8947 0.3835 0.8476
7 Nd 0.0935 0.3103 0.4626
8 Nd 0.2167 0.9065 0.4626
9 Nd 0.3103 0.2167 0.5374
10 Nd 0.3333 0.6667 0.6677
11 Nd 0.6667 0.3333 0.3323
12 Nd 0.6897 0.7833 0.4626
13 Nd 0.7833 0.0935 0.5374
14 Nd 0.9065 0.6897 0.5374
15 Tl 0.0000 0.0000 0.0000

Computed properties:
* calculated density: 6.9 Mg/m³
* formation enthalpy at 0 K: 0.20 eV per atom
* size of the total moment: 0.00 μB/cell